(1)
## DyHf2F11 (PBE)

Data for an optimized crystal structure of DyHf2F11.

The value obtained for the energy is -200.22 eV/cell. Its space group is Ibam. As for the density of states at the Fermi level: 0.0 states/eV per cell. Its volume is 14.646 A^3/atom. The uncorrected formation energy comes out at -3.93 eV per atom. Its magnetic moment is 0.00 μB/f.u.

Lattice parameters (Å, degrees): 7.7400 8.2530 8.2530 73.83 62.04 62.04
Atoms (fractional coordinates):
F  0.3635  0.2916  0.4432
F  0.8635  0.9432  0.7916
F  0.1365  0.0568  0.2084
F  0.0983  0.5568  0.7084
F  0.5983  0.2084  0.0568
F  0.0382  0.1804  0.5420
F  0.5382  0.0420  0.6804
Hf  0.8627  0.1818  0.8182
Hf  0.1373  0.8182  0.1818
F  0.9017  0.4432  0.2916
F  0.5000  0.5000  0.5000
F  0.7605  0.4580  0.8196
F  0.4618  0.9580  0.3196
F  0.2605  0.3196  0.9580
Hf  0.6373  0.6818  0.3182
Hf  0.3627  0.3182  0.6818
Dy  0.2500  0.2500  0.2500
F  0.2395  0.5420  0.1804
F  0.0000  0.0000  0.0000
F  0.6285  0.2826  0.7174
F  0.1285  0.2174  0.7826
F  0.7395  0.6804  0.0420
F  0.8715  0.7826  0.2174
F  0.9618  0.8196  0.4580
F  0.4017  0.7916  0.9432
F  0.3715  0.7174  0.2826
Dy  0.7500  0.7500  0.7500
F  0.6365  0.7084  0.5568

=====

(2)
## BiPt (PBE)

Data for an optimized crystal structure of BiPt.

The value obtained for the energy is -20.03 eV/cell. The formation energy is -0.09 eV per formula unit. Its space group is P6_3/mmc. As for the density of states at the Fermi level: 2.1 states/eV per cell. Its volume is 23.844 A^3/atom. Its magnetic moment is 0.00 μB/f.u.

Lattice parameters (Å, degrees): 3.8599 3.8599 7.3919 90.00 90.00 120.00
Atoms (fractional coordinates):
Bi  0.0000  0.0000  0.5000
Pt  0.6667  0.3333  0.7500
Bi  0.0000  0.0000  0.0000
Pt  0.3333  0.6667  0.2500

=====

(3)
## SrTe2P (PBE)

Data for an optimized crystal structure of SrTe2P.

The value obtained for the energy is -15.39 eV/cell. Its space group is P2/m. As for the density of states at the Fermi level: 1.9 states/eV per cell. Its volume is 29.725 A^3/atom. The uncorrected formation energy comes out at -0.50 eV per atom. Its magnetic moment is 0.00 μB/f.u. The offset from the most stable computed form comes out at 154 meV/atom.

Lattice parameters (Å, degrees): 3.9835 4.6713 6.7189 71.99 90.00 90.00
Atoms (fractional coordinates):
Sr  0.5000  0.5000  0.0000
Te  0.0000  0.8631  0.2649
Te  0.0000  0.1369  0.7351
P  0.5000  0.5000  0.5000

=====

(4)
## La2Pr5TlZn2 (PBE)

Data for an optimized crystal structure of La2Pr5TlZn2.

The value obtained for the energy is -80.63 eV/cell. The formation energy is -1.65 eV per formula unit. Its space group is P4/mbm. As for the density of states at the Fermi level: 26.9 states/eV per cell. Its volume is 32.326 A^3/atom. Its magnetic moment is 0.00 μB/f.u.

Lattice parameters (Å, degrees): 3.9626 12.7731 12.7731 90.00 90.00 90.00
Atoms (fractional coordinates):
Zn  0.0000  0.3713  0.1287
Zn  0.0000  0.6287  0.8713
Tl  0.0000  0.5000  0.5000
Zn  0.0000  0.1287  0.6287
Pr  0.5000  0.0550  0.7967
Pr  0.5000  0.4450  0.2967
Pr  0.5000  0.7967  0.9450
La  0.0000  0.1818  0.3182
La  0.0000  0.8182  0.6818
Pr  0.5000  0.2967  0.5550
La  0.0000  0.3182  0.8182
Zn  0.0000  0.8713  0.3713
Pr  0.5000  0.7033  0.4450
Tl  0.0000  0.0000  0.0000
Pr  0.5000  0.5000  0.0000
La  0.0000  0.6818  0.1818
Pr  0.5000  0.5550  0.7033
Pr  0.5000  0.0000  0.5000
Pr  0.5000  0.2033  0.0550
Pr  0.5000  0.9450  0.2033

=====

(5)
## LiIn2AgBr8 (PBE)

Data for an optimized crystal structure of LiIn2AgBr8.

The value obtained for the energy is -32.65 eV/cell. Its space group is I-4m2. As for the density of states at the Fermi level: 0.0 states/eV per cell. Its volume is 33.515 A^3/atom. The uncorrected formation energy comes out at -0.75 eV per atom. Its magnetic moment is 0.00 μB/f.u.

Lattice parameters (Å, degrees): 8.0571 8.0571 8.0571 108.38 108.38 111.68
Atoms (fractional coordinates):
Br  0.4810  0.6851  0.7959
Br  0.8891  0.6851  0.2041
Br  0.9389  0.6413  0.7024
Br  0.3149  0.1109  0.7959
Br  0.3587  0.0611  0.2976
In  0.5000  0.5000  0.0000
Li  0.2500  0.7500  0.5000
Br  0.9389  0.2365  0.2976
Ag  0.0000  0.0000  0.0000
In  0.7500  0.2500  0.5000
Br  0.7635  0.0611  0.7024
Br  0.3149  0.5190  0.2041

=====

(6)
## K2MnIr (PBE)

Data for an optimized crystal structure of K2MnIr.

The value obtained for the energy is -16.28 eV/cell. The formation energy is 3.94 eV per formula unit. Its space group is P2/m. As for the density of states at the Fermi level: 3.2 states/eV per cell. Its volume is 21.817 A^3/atom. Its magnetic moment is 4.19 μB/f.u. The offset from the most stable computed form comes out at 552 meV/atom.

Lattice parameters (Å, degrees): 5.7171 3.1264 4.8896 86.87 90.00 90.00
Atoms (fractional coordinates):
K  0.0000  0.5015  0.5052
K  0.0000  0.9985  0.9948
Mn  0.5000  0.2500  0.2500
Ir  0.5000  0.7500  0.7500

=====

(7)
## KGeBr3 (PBE)

Data for an optimized crystal structure of KGeBr3.

The value obtained for the energy is -63.66 eV/cell. Its space group is P2_1/c. As for the density of states at the Fermi level: 0.0 states/eV per cell. Its volume is 42.166 A^3/atom. The uncorrected formation energy comes out at -1.04 eV per atom. Its magnetic moment is 0.00 μB/f.u.

Lattice parameters (Å, degrees): 28.1809 8.9976 10.6752 90.00 161.85 90.00
Atoms (fractional coordinates):
Ge  0.3997  0.9045  0.9178
K  0.4559  0.7236  0.4838
K  0.5441  0.2764  0.5162
Br  0.0654  0.6757  0.5562
Br  0.7017  0.0264  0.1151
Br  0.9346  0.3243  0.4438
Br  0.4346  0.1757  0.9438
Br  0.7983  0.5264  0.3849
Br  0.6382  0.6294  0.6684
Br  0.8618  0.1294  0.8316
Ge  0.8997  0.5955  0.4178
Br  0.2017  0.4736  0.6151
K  0.0441  0.2236  0.0162
K  0.9559  0.7764  0.9838
Ge  0.6003  0.0955  0.0822
Ge  0.1003  0.4045  0.5822
Br  0.5654  0.8243  0.0562
Br  0.2983  0.9736  0.8849
Br  0.3618  0.3706  0.3316
Br  0.1382  0.8706  0.1684

=====

(8)
## Dy6MgRh (PBE)

Data for an optimized crystal structure of Dy6MgRh.

The value obtained for the energy is -36.33 eV/cell. The formation energy is 0.23 eV per formula unit. Its space group is P-1. As for the density of states at the Fermi level: 11.3 states/eV per cell. Its volume is 32.095 A^3/atom. Its magnetic moment is 0.00 μB/f.u.

Lattice parameters (Å, degrees): 6.9077 6.9252 7.3614 62.09 62.16 60.03
Atoms (fractional coordinates):
Dy  0.2062  0.9704  0.2484
Rh  0.0000  0.0000  0.0000
Dy  0.9694  0.5771  0.2480
Dy  0.5768  0.2052  0.2485
Dy  0.0306  0.4229  0.7520
Dy  0.7938  0.0296  0.7516
Mg  0.5000  0.5000  0.5000
Dy  0.4232  0.7948  0.7515

=====

(9)
## SmTiPb2 (PBE)

Data for an optimized crystal structure of SmTiPb2.

The value obtained for the energy is -20.46 eV/cell. The formation energy is -0.43 eV per formula unit. Its space group is P4/mmm. As for the density of states at the Fermi level: 3.6 states/eV per cell. Its volume is 25.509 A^3/atom. Its magnetic moment is 0.79 μB/f.u.

Lattice parameters (Å, degrees): 4.4792 4.7728 4.7728 90.00 90.00 90.00
Atoms (fractional coordinates):
Pb  0.0000  0.0000  0.5000
Sm  0.5000  0.5000  0.5000
Ti  0.5000  0.0000  0.0000
Pb  0.0000  0.5000  0.0000

=====

(10)
## PmLuCoSi (PBE)

Data for an optimized crystal structure of PmLuCoSi.

The value obtained for the energy is -22.97 eV/cell. Its space group is F-43m. As for the density of states at the Fermi level: 2.1 states/eV per cell. Its volume is 20.604 A^3/atom. The uncorrected formation energy comes out at -0.29 eV per atom. Its magnetic moment is 0.81 μB/f.u.

Lattice parameters (Å, degrees): 4.8848 4.8848 4.8848 60.00 60.00 60.00
Atoms (fractional coordinates):
Co  0.2500  0.2500  0.2500
Lu  0.0000  0.0000  0.0000
Pm  0.5000  0.5000  0.5000
Si  0.7500  0.7500  0.7500

=====

(11)
## MnAg2Au (PBE)

Data for an optimized crystal structure of MnAg2Au.

The value obtained for the energy is -17.95 eV/cell. The formation energy is 0.20 eV per formula unit. Its space group is I4/mmm. As for the density of states at the Fermi level: 1.6 states/eV per cell. Its volume is 17.177 A^3/atom. Its magnetic moment is 4.24 μB/f.u.

Lattice parameters (Å, degrees): 5.0909 5.0909 5.0909 133.24 133.32 68.22
Atoms (fractional coordinates):
Mn  0.2500  0.7500  0.5000
Ag  0.0000  0.0000  0.0000
Au  0.7500  0.2500  0.5000
Ag  0.5000  0.5000  0.0000

=====

(12)
## AlHgPb2 (PBE)

Data for an optimized crystal structure of AlHgPb2.

The value obtained for the energy is -10.76 eV/cell. The formation energy is 0.70 eV per formula unit. Its space group is R-3m. As for the density of states at the Fermi level: 2.6 states/eV per cell. Its volume is 27.720 A^3/atom. Its magnetic moment is 0.00 μB/f.u. The offset from the most stable computed form comes out at 52 meV/atom.

Lattice parameters (Å, degrees): 10.8581 10.8581 10.8581 18.36 18.36 18.36
Atoms (fractional coordinates):
Al  0.2500  0.2500  0.2500
Pb  0.5058  0.5058  0.5058
Pb  0.9942  0.9942  0.9942
Hg  0.7500  0.7500  0.7500